DFT (PBE) results for YSi3I after structural relaxation.

Cell and atoms, written as CIF:
```
data_YSi3I
_cell_length_a 5.532
_cell_length_b 5.532
_cell_length_c 5.532
_cell_angle_alpha 90.00
_cell_angle_beta 90.00
_cell_angle_gamma 90.00
_space_group_name_H-M_alt 'P m -3 m'
_space_group_IT_number 221
_space_group_name_Hall '-P 4 2 3'
loop_
_atom_site_label
_atom_site_type_symbol
_atom_site_fract_x
_atom_site_fract_y
_atom_site_fract_z
_atom_site_occupancy
Y1 Y 0.000 0.000 0.000 1
Si1 Si 0.000 0.000 0.500 1
I1 I 0.500 0.500 0.500 1
```

Properties
**Raw formation energy**: 1.118 eV per atom
**N(E_F)**: 5.492 states/eV/f.u.
**Crystal system**: cubic
**Excess energy over the best structure of this formula in the dataset**: 0.0000 eV per atom



DFT (PBE) results for AcSmTe2 after structural relaxation.

Cell and atoms, written as CIF:
```
data_AcSmTe2
_cell_length_a 7.916
_cell_length_b 7.916
_cell_length_c 7.916
_cell_angle_alpha 90.00
_cell_angle_beta 90.00
_cell_angle_gamma 90.00
_space_group_name_H-M_alt 'F m -3 m'
_space_group_IT_number 225
_space_group_name_Hall '-F 4 2 3'
loop_
_atom_site_label
_atom_site_type_symbol
_atom_site_fract_x
_atom_site_fract_y
_atom_site_fract_z
_atom_site_occupancy
Ac1 Ac 0.000 0.000 0.000 1
Sm1 Sm 0.000 0.000 0.500 1
Te1 Te 0.250 0.250 0.250 1
```

Properties
**Raw formation energy**: -1.317 eV per atom
**N(E_F)**: 3.750 states/eV/f.u.
**Crystal system**: cubic
**Excess energy over the best structure of this formula in the dataset**: 0.1172 eV per atom



DFT (PBE) results for Er3OsPb after structural relaxation.

Cell and atoms, written as CIF:
```
data_Er3OsPb
_cell_length_a 6.517
_cell_length_b 9.681
_cell_length_c 16.596
_cell_angle_alpha 90.00
_cell_angle_beta 90.00
_cell_angle_gamma 90.00
_space_group_name_H-M_alt 'F m m m'
_space_group_IT_number 69
_space_group_name_Hall '-F 2 2'
loop_
_atom_site_label
_atom_site_type_symbol
_atom_site_fract_x
_atom_site_fract_y
_atom_site_fract_z
_atom_site_occupancy
Er1 Er 0.000 0.000 0.202 1
Er2 Er 0.000 0.188 0.382 1
Os1 Os 0.250 0.250 0.250 1
Pb1 Pb 0.222 0.000 0.000 1
```

Properties
**N(E_F)**: 3.361 states/eV/f.u.
**Crystal system**: orthorhombic
**Excess energy over the best structure of this formula in the dataset**: 0.0000 eV per atom
**Energy of formation from the pure elements**: -0.355 eV/atom



DFT (PBE) results for NdSm3Pt after structural relaxation.

Cell and atoms, written as CIF:
```
data_NdSm3Pt
_cell_length_a 5.610
_cell_length_b 5.610
_cell_length_c 5.610
_cell_angle_alpha 90.00
_cell_angle_beta 90.00
_cell_angle_gamma 90.00
_space_group_name_H-M_alt 'P m -3 m'
_space_group_IT_number 221
_space_group_name_Hall '-P 4 2 3'
loop_
_atom_site_label
_atom_site_type_symbol
_atom_site_fract_x
_atom_site_fract_y
_atom_site_fract_z
_atom_site_occupancy
Nd1 Nd 0.000 0.000 0.000 1
Sm1 Sm 0.000 0.500 0.500 1
Pt1 Pt 0.500 0.500 0.500 1
```

Properties
**N(E_F)**: 10.772 states/eV/f.u.
**Crystal system**: cubic
**Excess energy over the best structure of this formula in the dataset**: 0.1843 eV per atom
**Energy of formation from the pure elements**: -0.294 eV/atom



Here are the calculated M_tot numbers, same order: 0.00 0.04 0.00 0.00 (Bohr magnetons per cell).